Computed, not measured: a relaxed Sb2S2O9 crystal at the PBE level of DFT.

It has space group P4_12_12 (No. 92), with a = 6.7436 Å, b = 6.7436 Å, c = 18.4733 Å, α = 90.00°, β = 90.00° and γ = 90.00°. The asymmetric unit holds Sb at (0.0367, 0.1563, 0.1661), S at (0.0490, 0.3530, 0.6954), O at (0.0136, 0.6016, 0.4529), O at (0.0553, 0.8232, 0.1633), O at (0.0795, 0.7148, 0.9006), O at (0.1218, 0.3016, 0.7707) and O at (0.1378, 0.8622, 0.7500).



Computed, not measured: a relaxed SbSO6 crystal at the PBE level of DFT.

It has space group C2/m (No. 12), with a = 8.4430 Å, b = 5.0760 Å, c = 4.8751 Å, α = 90.00°, β = 125.08° and γ = 90.00°. The asymmetric unit holds Sb at (0.0000, 0.0000, 0.0000), S at (0.0000, 0.5000, 0.5000), O at (0.0716, 0.2722, 0.3527) and O at (0.2222, 0.5000, 0.8605).



Computed, not measured: a relaxed SbSeSO2 crystal at the PBE level of DFT.

It has space group P4/mmm (No. 123), with a = 3.7824 Å, b = 3.7824 Å, c = 5.7136 Å, α = 90.00°, β = 90.00° and γ = 90.00°. The asymmetric unit holds Sb at (0.0000, 0.0000, 0.0000), Se at (0.5000, 0.5000, 0.0000), S at (0.0000, 0.0000, 0.5000) and O at (0.0000, 0.5000, 0.5000).



no.,magnetization (μB per atom),formation energy (no corrections) (meV per atom)
1,0.00,-1327
2,0.08,-563
3,0.00,143